The following is a DFT calculation (PBE) of a relaxed CsBeNiAs crystal.

magnetization = 0.62 μB per cell
excess energy over the best structure of this formula in the dataset = 0 meV/atom
final energy = -2.67 eV per atom
V = 20.0 Å³ per atom

Cell lengths 6.839, 6.839, 6.839 Å; angles 90.00, 90.00, 90.00 degrees
Space group F-43m (No. 216)
Symmetry-distinct sites (fractional):
Cs  0.000  0.000  0.000 x4
Be  0.250  0.250  0.250 x4
Ni  0.250  0.250  0.750 x4
As  0.000  0.000  0.500 x4